Entry 1:
{"formula": "HfZrHg2B", "functional": "PBE", "state": "optimized geometry", "ef_mev_per_atom": 1183.5, "lattice": [[-5.331, -0.400, 0.510], [0.508, -2.811, 3.100], [0.046, 3.981, 3.603]], "species": ["B", "Hf", "Hg", "Hg", "Zr"], "frac_coords": [[0.000, 0.500, 0.000], [0.500, 0.500, 0.500], [0.000, 0.000, 0.500], [0.500, 0.000, 0.000], [0.000, 0.000, 0.000]]}

Entry 2:
{"formula": "HoHfB4", "functional": "PBE", "state": "optimized geometry", "ef_mev_per_atom": -703.3, "lattice": [[-0.972, 1.006, -3.106], [3.170, -0.485, -1.149], [-2.394, -5.590, 0.806]], "species": ["Ho", "Hf", "B", "B", "B", "B"], "frac_coords": [[0.000, 0.000, 0.000], [0.250, 0.750, 0.500], [0.672, 0.172, 0.345], [0.585, 0.585, 0.169], [0.828, 0.328, 0.655], [0.415, 0.415, 0.831]]}

Entry 3:
{"formula": "Ho2HfB2Rh5", "functional": "PBE", "state": "optimized geometry", "ef_mev_per_atom": -864.3, "lattice": [[3.248, 0.000, 0.000], [0.000, 9.634, 0.000], [0.000, 0.000, 9.634]], "species": ["Ho", "Ho", "Ho", "Ho", "Hf", "Hf", "B", "B", "B", "B", "Rh", "Rh", "Rh", "Rh", "Rh", "Rh", "Rh", "Rh", "Rh", "Rh"], "frac_coords": [[0.000, 0.675, 0.175], [0.000, 0.325, 0.825], [0.000, 0.175, 0.325], [0.000, 0.825, 0.675], [0.000, 0.000, 0.000], [0.000, 0.500, 0.500], [0.000, 0.120, 0.620], [0.000, 0.880, 0.380], [0.000, 0.620, 0.880], [0.000, 0.380, 0.120], [0.500, 0.224, 0.071], [0.500, 0.776, 0.929], [0.500, 0.071, 0.776], [0.500, 0.724, 0.429], [0.500, 0.929, 0.224], [0.500, 0.276, 0.571], [0.500, 0.571, 0.724], [0.500, 0.429, 0.276], [0.500, 0.500, 0.000], [0.500, 0.000, 0.500]]}

Entry 4:
{"formula": "HfBI2", "functional": "PBE", "state": "optimized geometry", "dft_energy_ev_per_atom": -3.95, "lattice": [[0.000, 3.537, 3.537], [3.537, 0.000, 3.537], [3.537, 3.537, 0.000]], "species": ["I", "I", "B", "Hf"], "frac_coords": [[0.250, 0.250, 0.250], [0.750, 0.750, 0.750], [0.000, 0.000, 0.000], [0.500, 0.500, 0.500]]}

Entry 5:
{"formula": "HfBI2", "functional": "PBE", "state": "optimized geometry", "dft_energy_ev_per_atom": -3.82, "lattice": [[7.562, 0.000, 0.000], [0.000, 7.562, 0.000], [3.781, 3.781, 3.367]], "species": ["I", "I", "I", "I", "B", "B", "Hf", "Hf"], "frac_coords": [[0.603, 0.125, 0.250], [0.147, 0.625, 0.250], [0.375, 0.397, 0.750], [0.875, 0.853, 0.750], [0.500, 0.500, 0.000], [0.250, 0.750, 0.500], [0.000, 0.000, 0.000], [0.750, 0.250, 0.500]]}

Entry 6:
{"formula": "HfBI", "functional": "PBE", "state": "optimized geometry", "dft_energy_ev_per_atom": -6.49, "lattice": [[3.775, 0.000, 0.000], [1.887, 3.359, -0.040], [1.887, 0.095, 11.542]], "species": ["Hf", "Hf", "B", "B", "I", "I"], "frac_coords": [[0.814, 0.998, 0.374], [0.186, 0.002, 0.626], [0.550, 0.347, 0.552], [0.450, 0.653, 0.448], [0.250, 0.308, 0.192], [0.750, 0.692, 0.808]]}

Values for total magnetization, μB/f.u., ordered as above
0.0 0.0 0.0 0.0 0.0 0.0